Model A:
CaLaTb2: relaxed, PBE-GGA.

Unit cell a=3.700 b=3.700 c=10.355 alpha=90.00 beta=90.00 gamma=90.00
Space group P4/mmm (No. 123)
Unique sites:
1 Ca 0.000 0.000 0.000 x1
2 La 0.000 0.000 0.500 x1
3 Tb 0.500 0.500 0.263 x2

Model B:
CaLaTb2: relaxed, PBE-GGA.

Unit cell a=3.6606 b=3.6606 c=36.2801 alpha=90.00 beta=90.00 gamma=120.00
Space group R3m (No. 160, hexagonal axes)
Unique sites:
1 Ca 0.0000 0.0000 0.0000 x3
2 La 0.0000 0.0000 0.1656 x3
3 Tb 0.0000 0.0000 0.5798 x3
4 Tb 0.0000 0.0000 0.7524 x3

Model C:
CaLaTb2: relaxed, PBE-GGA.

Unit cell a=3.6643 b=3.6643 c=36.3869 alpha=90.00 beta=90.00 gamma=120.00
Space group R-3m (No. 166, hexagonal axes)
Unique sites:
1 Ca 0.0000 0.0000 0.0000 x3
2 La 0.0000 0.0000 0.5000 x3
3 Tb 0.0000 0.0000 0.2472 x6

Model D:
CaLaTb2: relaxed, PBE-GGA.

Unit cell a=8.268 b=8.268 c=8.268 alpha=90.00 beta=90.00 gamma=90.00
Space group Fm-3m (No. 225)
Unique sites:
1 Ca 0.000 0.000 0.000 x4
2 La 0.000 0.000 0.500 x4
3 Tb 0.250 0.250 0.250 x8

Which of them is the least stable? Correct choice: model D.